1.
First-principles (PBE-GGA) data for a relaxed Li2NpSc3S6 crystal, as listed in Alexandria.

Output
energy relative to the elements, uncorrected: -20.45 eV/f.u.
symmetry: C2/m

a b c (Å): 3.728 7.565 8.417
angles (deg): 104.13 102.79 90.00
Site moments in Bohr magnetons follow the coordinates.
Fractional coordinates of all 12 atoms:
S 0.671 0.082 0.342  -0.03
S 0.329 0.918 0.658  -0.03
S 0.000 0.262 0.000  -0.04
S 0.336 0.410 0.671  0.01
S 0.664 0.590 0.329  0.01
S 0.000 0.738 0.000  -0.04
Li 0.824 0.645 0.648  0.00
Li 0.176 0.355 0.352  0.00
Np 0.500 0.000 0.000  3.89
Sc 0.500 0.500 0.000  0.03
Sc 0.167 0.832 0.334  0.11
Sc 0.833 0.168 0.666  0.11

---

2.
First-principles (PBE-GGA) data for a relaxed Li3NpSc3S8 crystal, as listed in Alexandria.

Output
energy relative to the elements, uncorrected: -24.48 eV/f.u.
symmetry: R-3m

a b c (Å): 7.499 7.498 7.498
angles (deg): 120.03 90.00 120.00
Site moments in Bohr magnetons follow the coordinates.
Fractional coordinates of all 15 atoms:
S 0.739 0.989 0.739  -0.05
S 0.750 0.500 0.261  -0.05
S 0.253 0.507 0.260  0.00
S 0.261 0.011 0.261  -0.05
S 0.250 0.989 0.739  -0.05
S 0.750 0.011 0.261  -0.05
S 0.250 0.500 0.739  -0.05
S 0.747 0.493 0.740  0.00
Np 0.000 0.000 0.500  3.13
Li 0.000 0.500 0.000  0.00
Li 0.500 0.500 0.000  0.00
Li 0.000 0.000 0.000  0.00
Sc 0.000 0.500 0.500  0.04
Sc 0.500 0.000 0.500  0.04
Sc 0.500 0.500 0.500  0.04

---

3.
First-principles (PBE-GGA) data for a relaxed LiNpScS3 crystal, as listed in Alexandria.

Output
energy relative to the elements, uncorrected: -9.03 eV/f.u.
symmetry: P2_1/m

a b c (Å): 3.724 7.752 8.254
angles (deg): 104.44 90.00 90.00
Site moments in Bohr magnetons follow the coordinates.
Fractional coordinates of all 12 atoms:
S 0.250 0.103 0.866  -0.06
S 0.250 0.770 0.498  -0.03
S 0.250 0.564 0.834  -0.04
S 0.750 0.897 0.134  -0.06
S 0.750 0.436 0.166  -0.04
S 0.750 0.230 0.502  -0.03
Sc 0.250 0.666 0.160  0.17
Sc 0.750 0.334 0.840  0.17
Li 0.250 0.091 0.584  0.01
Li 0.750 0.909 0.416  0.01
Np 0.750 0.815 0.782  4.07
Np 0.250 0.185 0.218  4.07

---

4.
First-principles (PBE-GGA) data for a relaxed Li4NpSc3S8 crystal, as listed in Alexandria.

Output
energy relative to the elements, uncorrected: -26.41 eV/f.u.
symmetry: R-3m

a b c (Å): 7.511 7.500 7.511
angles (deg): 120.06 120.00 90.00
Site moments in Bohr magnetons follow the coordinates.
Fractional coordinates of all 16 atoms:
Sc 0.500 0.500 0.500  0.10
Sc 0.500 0.500 0.000  0.10
Sc 0.000 0.500 0.500  0.10
Li 0.000 0.000 0.000  0.00
Li 0.500 0.000 0.500  0.00
Li 0.000 0.000 0.500  0.00
Li 0.500 0.000 0.000  -0.01
S 0.737 0.745 0.991  -0.03
S 0.747 0.739 0.493  0.00
S 0.253 0.261 0.507  0.00
S 0.254 0.745 0.508  -0.03
S 0.263 0.255 0.009  -0.03
S 0.746 0.255 0.492  -0.03
S 0.746 0.255 0.009  -0.03
S 0.254 0.745 0.991  -0.03
Np 0.000 0.500 0.000  3.62

---

no.,N(E_F) (states/eV/atom)
1,1.090
2,0.772
3,1.597
4,0.654